VASP calculation (PBE) on a relaxed structure of LiTcP.

a b c (Å): 4.924 4.924 4.924
angles (deg): 38.76 38.76 38.76
Sites, in units of the cell vectors:
Li 0.000 0.000 0.000
Tc 0.200 0.200 0.200
P 0.435 0.435 0.435

Properties
electronic total energy	-6.095	eV per atom
energy of formation	-199	meV per atom
crystal system	trigonal
magnetic moment	0.00	μB/f.u.



VASP calculation (PBE) on a relaxed structure of Sr2GaAg6Ge.

a b c (Å): 7.366 9.575 6.788
angles (deg): 90.00 90.00 90.00
Sites, in units of the cell vectors:
Sr 0.250 0.003 0.249
Sr 0.250 0.497 0.249
Sr 0.750 0.503 0.751
Sr 0.750 0.997 0.751
Ga 0.250 0.750 0.906
Ga 0.750 0.250 0.094
Ag 0.056 0.250 0.920
Ag 0.060 0.750 0.576
Ag 0.250 0.000 0.747
Ag 0.250 0.500 0.747
Ag 0.440 0.750 0.576
Ag 0.444 0.250 0.920
Ag 0.556 0.750 0.080
Ag 0.560 0.250 0.424
Ag 0.750 0.000 0.253
Ag 0.750 0.500 0.253
Ag 0.940 0.250 0.424
Ag 0.944 0.750 0.080
Ge 0.250 0.250 0.590
Ge 0.750 0.750 0.410

Properties
electronic total energy	-3.016	eV per atom
energy of formation	-204	meV per atom
crystal system	orthorhombic
magnetic moment	0.00	μB/f.u.



VASP calculation (PBE) on a relaxed structure of Sc2VP.

a b c (Å): 9.890 9.890 9.890
angles (deg): 17.75 17.75 17.75
Sites, in units of the cell vectors:
Sc 0.089 0.089 0.089
Sc 0.911 0.911 0.911
V 0.500 0.500 0.500
P 0.000 0.000 0.000

Properties
electronic total energy	-6.475	eV per atom
energy of formation	323	meV per atom
crystal system	trigonal
magnetic moment	0.86	μB/f.u.



VASP calculation (PBE) on a relaxed structure of BaAgOs2.

a b c (Å): 2.944 3.680 7.945
angles (deg): 90.00 90.00 90.00
Sites, in units of the cell vectors:
Ba 0.000 0.000 0.000
Ag 0.500 0.500 0.677
Os 0.000 0.000 0.450
Os 0.500 0.500 0.320

Properties
electronic total energy	-6.239	eV per atom
energy of formation	569	meV per atom
crystal system	orthorhombic
magnetic moment	0.00	μB/f.u.



VASP calculation (PBE) on a relaxed structure of Co2ReNi.

a b c (Å): 3.896 3.896 7.331
angles (deg): 90.00 90.00 120.00
Sites, in units of the cell vectors:
Co 0.333 0.667 0.085
Co 0.333 0.667 0.415
Co 0.667 0.333 0.585
Co 0.667 0.333 0.915
Re 0.333 0.667 0.750
Re 0.667 0.333 0.250
Ni 0.000 0.000 0.000
Ni 0.000 0.000 0.500

Properties
electronic total energy	-7.855	eV per atom
energy of formation	255	meV per atom
crystal system	hexagonal
magnetic moment	0.00	μB/f.u.



VASP calculation (PBE) on a relaxed structure of Pm2Mg5Zn4.

a b c (Å): 9.249 7.948 6.421
angles (deg): 79.35 57.63 43.02
Sites, in units of the cell vectors:
Pm 0.145 0.145 0.855
Pm 0.855 0.855 0.145
Mg 0.000 0.000 0.500
Mg 0.250 0.250 0.250
Mg 0.500 0.500 0.000
Mg 0.500 0.500 0.500
Mg 0.750 0.750 0.750
Zn 0.235 0.462 0.538
Zn 0.462 0.235 0.765
Zn 0.538 0.765 0.235
Zn 0.765 0.538 0.462

Properties
electronic total energy	-2.157	eV per atom
energy of formation	-105	meV per atom
crystal system	orthorhombic
magnetic moment	0.00	μB/f.u.



VASP calculation (PBE) on a relaxed structure of AcDyPuIn.

a b c (Å): 5.582 5.582 5.582
angles (deg): 60.00 60.00 60.00
Sites, in units of the cell vectors:
Ac 0.000 0.000 0.000
Dy 0.750 0.750 0.750
Pu 0.250 0.250 0.250
In 0.500 0.500 0.500

Properties
electronic total energy	-6.370	eV per atom
energy of formation	75	meV per atom
crystal system	cubic
magnetic moment	6.90	μB/f.u.



VASP calculation (PBE) on a relaxed structure of GaB2H.

a b c (Å): 6.508 6.508 6.508
angles (deg): 150.15 150.15 42.71
Sites, in units of the cell vectors:
Ga 0.000 0.000 0.000
Ga 0.750 0.250 0.500
B 0.338 0.625 0.213
B 0.375 0.588 0.713
B 0.412 0.125 0.787
B 0.875 0.662 0.287
H 0.250 0.750 0.500
H 0.500 0.500 0.000

Properties
electronic total energy	-4.243	eV per atom
crystal system	tetragonal
magnetic moment	0.00	μB/f.u.



VASP calculation (PBE) on a relaxed structure of CdFeTe2.

a b c (Å): 3.249 3.249 9.125
angles (deg): 90.00 90.00 90.00
Sites, in units of the cell vectors:
Cd 0.000 0.000 0.000
Fe 0.000 0.000 0.500
Te 0.500 0.500 0.320
Te 0.500 0.500 0.680

Properties
electronic total energy	-3.697	eV per atom
formation energy from raw total energies	0.22	eV/atom
crystal system	tetragonal
magnetic moment	2.20	μB/f.u.



VASP calculation (PBE) on a relaxed structure of ZnInAs2.

a b c (Å): 3.518 3.518 7.032
angles (deg): 90.00 90.00 90.00
Sites, in units of the cell vectors:
Zn 0.000 0.000 0.000
In 0.000 0.000 0.500
As 0.500 0.500 0.180
As 0.500 0.500 0.820

Properties
electronic total energy	-3.180	eV per atom
energy of formation	148	meV per atom
crystal system	tetragonal
magnetic moment	0.00	μB/f.u.



VASP calculation (PBE) on a relaxed structure of Ni2PtBr.

a b c (Å): 4.521 4.521 2.870
angles (deg): 90.00 90.00 90.11
Sites, in units of the cell vectors:
Ni 0.000 0.500 0.000
Ni 0.500 0.000 0.000
Pt 0.000 0.000 0.500
Br 0.500 0.500 0.500

Properties
electronic total energy	-4.340	eV per atom
formation energy from raw total energies	0.48	eV/atom
crystal system	orthorhombic
magnetic moment	1.00	μB/f.u.



VASP calculation (PBE) on a relaxed structure of LaIn2P2Pt7.

a b c (Å): 3.995 3.995 15.372
angles (deg): 96.69 96.69 90.03
Sites, in units of the cell vectors:
La 0.000 0.000 0.000
In 0.201 0.201 0.425
In 0.799 0.799 0.575
P 0.392 0.392 0.760
P 0.608 0.608 0.240
Pt 0.070 0.570 0.156
Pt 0.315 0.315 0.610
Pt 0.430 0.930 0.844
Pt 0.500 0.500 0.000
Pt 0.570 0.070 0.156
Pt 0.685 0.685 0.390
Pt 0.930 0.430 0.844

Properties
electronic total energy	-5.864	eV per atom
energy of formation	-572	meV per atom
crystal system	monoclinic
magnetic moment	0.00	μB/f.u.



VASP calculation (PBE) on a relaxed structure of Ba2RuAuC.

a b c (Å): 5.885 5.885 3.897
angles (deg): 90.00 90.00 90.00
Sites, in units of the cell vectors:
Ba 0.000 0.500 0.000
Ba 0.500 0.000 0.000
Ru 0.000 0.000 0.500
Au 0.500 0.500 0.500
C 0.000 0.000 0.000

Properties
electronic total energy	-5.148	eV per atom
energy of formation	-24	meV per atom
crystal system	tetragonal
magnetic moment	0.00	μB/f.u.



VASP calculation (PBE) on a relaxed structure of Mn2NbSiMo.

a b c (Å): 4.551 4.551 4.836
angles (deg): 90.00 90.00 90.00
Sites, in units of the cell vectors:
Mn 0.000 0.500 0.000
Mn 0.500 0.000 0.000
Nb 0.000 0.000 0.500
Si 0.500 0.500 0.500
Mo 0.000 0.000 0.000

Properties
electronic total energy	-7.546	eV per atom
formation energy from raw total energies	1.39	eV/atom
crystal system	tetragonal
magnetic moment	5.50	μB/f.u.



VASP calculation (PBE) on a relaxed structure of MgZr2Ta.

a b c (Å): 10.640 10.640 10.640
angles (deg): 157.41 157.41 32.16
Sites, in units of the cell vectors:
Mg 0.000 0.000 0.000
Mg 0.750 0.250 0.500
Zr 0.137 0.625 0.012
Zr 0.375 0.387 0.512
Zr 0.613 0.125 0.988
Zr 0.875 0.863 0.488
Ta 0.250 0.750 0.500
Ta 0.500 0.500 0.000

Properties
electronic total energy	-6.963	eV per atom
energy of formation	673	meV per atom
crystal system	tetragonal
magnetic moment	0.00	μB/f.u.



VASP calculation (PBE) on a relaxed structure of LiPm3Tc.

a b c (Å): 5.471 5.471 5.471
angles (deg): 90.00 90.00 90.00
Sites, in units of the cell vectors:
Li 0.000 0.000 0.000
Pm 0.000 0.500 0.500
Pm 0.500 0.000 0.500
Pm 0.500 0.500 0.000
Tc 0.500 0.500 0.500

Properties
electronic total energy	-5.102	eV per atom
energy of formation	204	meV per atom
crystal system	cubic
magnetic moment	0.00	μB/f.u.



VASP calculation (PBE) on a relaxed structure of Sr2LiRh2.

a b c (Å): 5.672 5.672 8.434
angles (deg): 100.59 100.59 62.38
Sites, in units of the cell vectors:
Sr 0.016 0.288 0.152
Sr 0.288 0.016 0.652
Sr 0.712 0.984 0.348
Sr 0.984 0.712 0.848
Li 0.399 0.601 0.250
Li 0.601 0.399 0.750
Rh 0.236 0.503 0.494
Rh 0.497 0.764 0.006
Rh 0.503 0.236 0.994
Rh 0.764 0.497 0.506

Properties
electronic total energy	-4.187	eV per atom
energy of formation	-191	meV per atom
crystal system	monoclinic
magnetic moment	0.38	μB/f.u.



VASP calculation (PBE) on a relaxed structure of BaMgSi2.

a b c (Å): 4.729 4.729 4.473
angles (deg): 90.00 90.00 90.00
Sites, in units of the cell vectors:
Ba 0.000 0.000 0.000
Mg 0.500 0.500 0.000
Si 0.000 0.500 0.500
Si 0.500 0.000 0.500

Properties
electronic total energy	-3.409	eV per atom
formation energy from raw total energies	0.18	eV/atom
crystal system	tetragonal
magnetic moment	0.00	μB/f.u.



VASP calculation (PBE) on a relaxed structure of BaBPO2.

a b c (Å): 4.405 4.405 7.251
angles (deg): 90.00 90.00 90.00
Sites, in units of the cell vectors:
Ba 0.000 0.000 0.000
B 0.500 0.500 0.500
P 0.000 0.000 0.500
O 0.000 0.500 0.000
O 0.500 0.000 0.000

Properties
electronic total energy	-3.655	eV per atom
formation energy from raw total energies	1.13	eV/atom
crystal system	tetragonal
magnetic moment	1.42	μB/f.u.



VASP calculation (PBE) on a relaxed structure of Cs4K2Te.

a b c (Å): 10.207 10.207 9.620
angles (deg): 114.93 114.93 38.17
Sites, in units of the cell vectors:
Cs 0.036 0.036 0.244
Cs 0.363 0.363 0.206
Cs 0.637 0.637 0.794
Cs 0.964 0.964 0.756
K 0.305 0.305 0.696
K 0.695 0.695 0.304
Te 0.500 0.500 0.000

Properties
electronic total energy	-1.635	eV per atom
formation energy from raw total energies	-0.38	eV/atom
crystal system	monoclinic
magnetic moment	0.00	μB/f.u.